No. 1
Material: Tm4HfSc3
Method: DFT, PBE
State: relaxed

* magnetization: 0.34 μB/atom
* calculated formation energy: 0.50 eV/atom
* E: -5.353 eV/atom
* SG: Cmmm

Cell lengths 3.2039, 8.3851, 8.3851 Å; angles 96.90, 90.00, 90.00 degrees
Closest atoms and distances in Å follow each position.
Atoms (fractional coordinates):
Tm1 0.0000 0.2390 0.2390  2 Hf 3.10, 4 Sc 3.14-3.32, 2 Tm 3.20
Sc1 0.0000 0.5000 0.0000  6 Tm 3.14-3.21, 2 Sc 3.20
Hf1 0.5000 0.0000 0.0000  6 Tm 3.10-3.12, 2 Hf 3.20
Tm2 0.0000 0.7610 0.7610  2 Hf 3.10, 4 Sc 3.14-3.32, 2 Tm 3.20
Sc2 0.0000 0.0000 0.5000  6 Tm 3.14-3.21, 2 Sc 3.20
Tm3 0.5000 0.2484 0.7516  1 Hf 3.12, 5 Sc 3.16-3.21, 2 Tm 3.20
Tm4 0.5000 0.7516 0.2484  1 Hf 3.12, 5 Sc 3.16-3.21, 2 Tm 3.20
Sc3 0.5000 0.5000 0.5000  6 Tm 3.16-3.32, 2 Sc 3.20

***

No. 2
Material: KCaCo4
Method: DFT, PBE
State: relaxed

* magnetization: 0.90 μB/atom
* calculated formation energy: 0.54 eV/atom
* E: -4.714 eV/atom
* SG: F-43m

Cell lengths 5.1815, 5.1815, 5.1815 Å; angles 60.00, 60.00, 60.00 degrees
Closest atoms and distances in Å follow each position.
Atoms (fractional coordinates):
Co1 0.3740 0.3740 0.3740  6 Co 2.57-2.61
Co2 0.8781 0.3740 0.3740  6 Co 2.57-2.61
Ca1 0.0000 0.0000 0.0000  12 Co 3.04, 4 K 3.17
K1 0.7500 0.7500 0.7500  12 Co 3.04, 4 Ca 3.17
Co3 0.3740 0.8781 0.3740  6 Co 2.57-2.61
Co4 0.3740 0.3740 0.8781  6 Co 2.57-2.61

***

No. 3
Material: TiIn2Ag2
Method: DFT, PBE
State: relaxed

* magnetization: 0.34 μB/atom
* calculated formation energy: 0.19 eV/atom
* E: -3.622 eV/atom
* offset from the most stable computed form: 0.037 eV per atom
* SG: P4/mbm

Cell lengths 8.0415, 8.0415, 3.1963 Å; angles 90.00, 90.00, 90.00 degrees
Closest atoms and distances in Å follow each position.
Atoms (fractional coordinates):
Ag1 0.8453 0.3453 0.5000  6 In 2.78-2.90
In1 0.1457 0.3543 0.0000  6 Ag 2.78-2.90, 2 Ti 3.08
Ti1 0.0000 0.0000 0.0000  4 In 3.08, 2 Ti 3.20, 8 Ag 3.44
In2 0.6457 0.1457 0.0000  6 Ag 2.78-2.90, 2 Ti 3.08
Ag2 0.6547 0.8453 0.5000  6 In 2.78-2.90
In3 0.8543 0.6457 0.0000  6 Ag 2.78-2.90, 2 Ti 3.08
Ag3 0.1547 0.6547 0.5000  6 In 2.78-2.90
Ti2 0.5000 0.5000 0.0000  4 In 3.08, 2 Ti 3.20, 8 Ag 3.44
In4 0.3543 0.8543 0.0000  6 Ag 2.78-2.90, 2 Ti 3.08
Ag4 0.3453 0.1547 0.5000  6 In 2.78-2.90

***

No. 4
Material: NdErBiAs
Method: DFT, PBE
State: relaxed

* magnetization: 0.00 μB/atom
* calculated formation energy: -1.17 eV/atom
* E: -5.634 eV/atom
* SG: R3m

Cell lengths 4.3195, 4.3195, 7.6212 Å; angles 73.54, 73.54, 60.00 degrees
Closest atoms and distances in Å follow each position.
Atoms (fractional coordinates):
Bi1 0.7537 0.7537 0.7388  3 Er 3.13, 3 Nd 3.23
As1 0.2463 0.2463 0.2612  3 Er 2.94, 3 Nd 3.03
Nd1 0.9922 0.9922 0.0234  3 As 3.03, 3 Bi 3.23
Er1 0.5078 0.5078 0.4766  3 As 2.94, 3 Bi 3.13

***

No. 5
Material: Y2Ga2Mo
Method: DFT, PBE
State: relaxed

* magnetization: 0.31 μB/atom
* calculated formation energy: -0.24 eV/atom
* E: -6.202 eV/atom
* SG: P4/mbm

Cell lengths 7.1536, 7.1536, 4.2265 Å; angles 90.00, 90.00, 90.00 degrees
Closest atoms and distances in Å follow each position.
Atoms (fractional coordinates):
Mo1 0.0000 0.0000 0.0000  4 Ga 2.81
Y1 0.1783 0.6783 0.5000  6 Ga 2.87-3.07
Ga1 0.8704 0.6296 0.0000  1 Ga 2.62, 2 Mo 2.81, 2 Y 2.87
Y2 0.8217 0.3217 0.5000  6 Ga 2.87-3.07
Y3 0.3217 0.1783 0.5000  6 Ga 2.87-3.07
Y4 0.6783 0.8217 0.5000  6 Ga 2.87-3.07
Ga2 0.6296 0.1296 0.0000  1 Ga 2.62, 2 Mo 2.81, 2 Y 2.87
Mo2 0.5000 0.5000 0.0000  4 Ga 2.81
Ga3 0.1296 0.3704 0.0000  1 Ga 2.62, 2 Mo 2.81, 2 Y 2.87
Ga4 0.3704 0.8704 0.0000  1 Ga 2.62, 2 Mo 2.81, 2 Y 2.87

***

No. 6
Material: LaCr2BiS
Method: DFT, PBE
State: relaxed

* magnetization: 0.02 μB/atom
* formation energy (no corrections): 1.904 eV per atom
* E: -4.532 eV/atom
* SG: P4/mmm

Cell lengths 4.4708, 6.5841, 4.4708 Å; angles 90.00, 90.00, 90.00 degrees
Closest atoms and distances in Å follow each position.
Atoms (fractional coordinates):
Cr1 0.5000 0.0000 0.0000  2 La 2.24
Cr2 0.0000 0.0000 0.5000  2 La 2.24
Bi1 0.0000 0.5000 0.0000  4 S 3.16, 2 La 3.29
La1 0.0000 0.0000 0.0000  4 Cr 2.24
S1 0.5000 0.5000 0.5000  4 Bi 3.16

***

No. 7
Material: Tl3Fe
Method: DFT, PBE
State: relaxed

* magnetization: 0.63 μB/atom
* calculated formation energy: 0.40 eV/atom
* E: -3.485 eV/atom
* SG: Pnma

Cell lengths 6.0719, 7.3651, 8.7865 Å; angles 90.00, 90.00, 90.00 degrees
Closest atoms and distances in Å follow each position.
Atoms (fractional coordinates):
Fe1 0.4293 0.1519 0.2500  8 Tl 2.73-3.04
Tl1 0.3659 0.8173 0.4482  3 Fe 2.78-3.04
Fe2 0.0707 0.6519 0.2500  8 Tl 2.73-3.04
Tl2 0.6341 0.1827 0.9482  3 Fe 2.78-3.04
Tl3 0.3559 0.5227 0.7500  2 Fe 2.73-2.89
Tl4 0.1341 0.3173 0.4482  3 Fe 2.78-3.04
Fe3 0.9293 0.3481 0.7500  8 Tl 2.73-3.04
Tl5 0.1341 0.3173 0.0518  3 Fe 2.78-3.04
Tl6 0.6441 0.4773 0.2500  2 Fe 2.73-2.89
Tl7 0.8559 0.9773 0.2500  2 Fe 2.73-2.89
Tl8 0.3659 0.8173 0.0518  3 Fe 2.78-3.04
Tl9 0.8659 0.6827 0.9482  3 Fe 2.78-3.04
Tl10 0.8659 0.6827 0.5518  3 Fe 2.78-3.04
Fe4 0.5707 0.8481 0.7500  8 Tl 2.73-3.04
Tl11 0.6341 0.1827 0.5518  3 Fe 2.78-3.04
Tl12 0.1441 0.0227 0.7500  2 Fe 2.73-2.89

***

No. 8
Material: PmPu2Ge
Method: DFT, PBE
State: relaxed

* magnetization: 2.99 μB/atom
* calculated formation energy: -0.27 eV/atom
* E: -9.774 eV/atom
* offset from the most stable computed form: 0.000 eV per atom
* SG: P4/mmm

Cell lengths 5.0010, 4.4525, 4.4525 Å; angles 90.00, 90.00, 90.00 degrees
Closest atoms and distances in Å follow each position.
Atoms (fractional coordinates):
Pm1 0.5000 0.5000 0.5000  4 Ge 3.15, 8 Pu 3.35
Pu1 0.0000 0.5000 0.0000  4 Pu 3.15, 4 Ge 3.35, 4 Pm 3.35
Pu2 0.0000 0.0000 0.5000  4 Pu 3.15, 4 Ge 3.35, 4 Pm 3.35
Ge1 0.5000 0.0000 0.0000  4 Pm 3.15, 8 Pu 3.35

***

No. 9
Material: Li2TiZn2
Method: DFT, PBE
State: relaxed

* magnetization: 0.00 μB/atom
* calculated formation energy: -0.04 eV/atom
* E: -2.893 eV/atom
* offset from the most stable computed form: 0.000 eV per atom
* SG: P4/mbm

Cell lengths 7.4506, 7.4506, 2.6243 Å; angles 90.00, 90.00, 90.00 degrees
Closest atoms and distances in Å follow each position.
Atoms (fractional coordinates):
Zn1 0.3185 0.1815 0.5000  6 Li 2.48-2.63, 2 Zn 2.62
Li1 0.8813 0.6187 0.0000  6 Zn 2.48-2.63, 3 Li 2.50-2.62
Li2 0.6187 0.1187 0.0000  6 Zn 2.48-2.63, 3 Li 2.50-2.62
Zn2 0.1815 0.6815 0.5000  6 Li 2.48-2.63, 2 Zn 2.62
Ti1 0.5000 0.5000 0.0000  2 Ti 2.62
Zn3 0.8185 0.3185 0.5000  6 Li 2.48-2.63, 2 Zn 2.62
Li3 0.3813 0.8813 0.0000  6 Zn 2.48-2.63, 3 Li 2.50-2.62
Zn4 0.6815 0.8185 0.5000  6 Li 2.48-2.63, 2 Zn 2.62
Ti2 0.0000 0.0000 0.0000  2 Ti 2.62
Li4 0.1187 0.3813 0.0000  6 Zn 2.48-2.63, 3 Li 2.50-2.62

***

No. 10
Material: CaLaP2O8
Method: DFT, PBE
State: relaxed

* magnetization: 0.09 μB/atom
* formation energy (no corrections): -2.659 eV per atom
* E: -7.444 eV/atom
* SG: P-3m1

Cell lengths 5.2852, 5.2852, 7.4400 Å; angles 90.00, 90.00, 120.00 degrees
Closest atoms and distances in Å follow each position.
Atoms (fractional coordinates):
O1 0.1734 0.3475 0.7282  1 P 1.55
La1 0.0000 0.0000 0.0000  6 O 2.57
O2 0.8259 0.1734 0.2718  1 P 1.55
O3 0.1741 0.8266 0.7282  1 P 1.55
O4 0.8266 0.6525 0.2718  1 P 1.55
O5 0.3333 0.6667 0.0046  1 P 1.55
P1 0.6667 0.3333 0.2033  4 O 1.55
O6 0.6667 0.3333 0.9954  1 P 1.55
P2 0.3333 0.6667 0.7967  4 O 1.55
O7 0.6525 0.8259 0.7282  1 P 1.55
Ca1 0.0000 0.0000 0.5000  6 O 2.33
O8 0.3475 0.1741 0.2718  1 P 1.55

***

No. 11
Material: SiSbAs
Method: DFT, PBE
State: relaxed

* magnetization: 0.00 μB/atom
* formation energy (no corrections): 0.457 eV per atom
* E: -4.274 eV/atom
* offset from the most stable computed form: 0.271 eV per atom
* SG: Fmm2

Cell lengths 7.5577, 7.3411, 3.1086 Å; angles 81.89, 74.08, 24.03 degrees
Closest atoms and distances in Å follow each position.
Atoms (fractional coordinates):
As1 0.9697 0.9697 0.0303  2 Si 2.50
Sb1 0.6826 0.6826 0.3174  2 Si 2.96, 4 Sb 3.11
Si1 0.3478 0.3478 0.6522  2 As 2.50

***

No. 12
Material: K2CdPtN
Method: DFT, PBE
State: relaxed

* magnetization: 0.00 μB/atom
* formation energy (no corrections): 0.021 eV per atom
* E: -3.474 eV/atom
* offset from the most stable computed form: 0.119 eV per atom
* SG: P4/mmm

Cell lengths 6.4943, 6.4943, 3.7349 Å; angles 90.00, 90.00, 90.00 degrees
Closest atoms and distances in Å follow each position.
Atoms (fractional coordinates):
K1 0.0000 0.5000 0.0000  2 Pt 3.25
N1 0.0000 0.0000 0.5000  2 Pt 1.87
Cd1 0.5000 0.5000 0.5000  2 Cd 3.73, 8 K 3.75
Pt1 0.0000 0.0000 0.0000  2 N 1.87
K2 0.5000 0.0000 0.0000  2 Pt 3.25

***

No. 13
Material: TiInHg
Method: DFT, PBE
State: relaxed

* magnetization: 0.27 μB/atom
* calculated formation energy: 0.01 eV/atom
* E: -3.639 eV/atom
* offset from the most stable computed form: 0.000 eV per atom
* SG: P2_1/m

Cell lengths 3.0807, 5.0721, 8.1028 Å; angles 90.00, 79.02, 90.00 degrees
Closest atoms and distances in Å follow each position.
Atoms (fractional coordinates):
In1 0.5134 0.2292 0.0557  6 Ti 2.91-3.08, 2 Hg 3.06, 2 In 3.08
Ti1 0.1680 0.2290 0.7447  6 In 2.91-3.08, 2 Hg 2.96-2.97, 4 Ti 3.03-3.08
Hg1 0.8262 0.2291 0.4261  2 Ti 2.96-2.97, 2 In 3.06, 6 Hg 3.08-3.22
Hg2 0.4061 0.7292 0.2716  2 Ti 2.96-2.97, 2 In 3.06, 6 Hg 3.08-3.22
Ti2 0.0646 0.7292 0.9531  6 In 2.91-3.08, 2 Hg 2.96-2.97, 4 Ti 3.03-3.08
In2 0.7191 0.7290 0.6422  6 Ti 2.91-3.08, 2 Hg 3.06, 2 In 3.08

***

No. 14
Material: DyY5Te6
Method: DFT, PBE
State: relaxed

* magnetization: 0.00 μB/atom
* formation energy (no corrections): -1.306 eV per atom
* E: -5.953 eV/atom
* SG: C2/m

Cell lengths 7.5458, 7.5506, 7.5730 Å; angles 60.10, 80.37, 70.39 degrees
Closest atoms and distances in Å follow each position.
Atoms (fractional coordinates):
Te1 0.7504 0.4157 0.6675  1 Dy 3.08, 5 Y 3.08-3.09
Y1 0.5000 0.5000 0.0000  6 Te 3.08-3.09
Y2 0.0000 0.6670 0.6660  6 Te 3.08-3.09
Y3 0.5000 0.1674 0.6653  6 Te 3.08-3.09
Dy1 0.0000 0.0000 0.0000  6 Te 3.08
Y4 0.5000 0.8326 0.3347  6 Te 3.08-3.09
Te2 0.2496 0.9167 0.6675  1 Dy 3.08, 5 Y 3.08-3.09
Te3 0.7501 0.7505 0.0000  1 Dy 3.08, 5 Y 3.09
Te4 0.2499 0.2495 0.0000  1 Dy 3.08, 5 Y 3.09
Y5 0.0000 0.3330 0.3340  6 Te 3.08-3.09
Te5 0.7504 0.0833 0.3325  1 Dy 3.08, 5 Y 3.08-3.09
Te6 0.2496 0.5843 0.3325  1 Dy 3.08, 5 Y 3.08-3.09

***

No. 15
Material: PrCd5Ag2
Method: DFT, PBE
State: relaxed

* magnetization: 0.00 μB/atom
* calculated formation energy: -0.16 eV/atom
* E: -2.039 eV/atom
* SG: Immm

Cell lengths 3.7975, 7.3210, 7.3210 Å; angles 74.23, 74.97, 74.97 degrees
Closest atoms and distances in Å follow each position.
Atoms (fractional coordinates):
Ag1 0.2588 0.2412 0.2412  7 Cd 2.80-2.96
Cd1 0.6390 0.1515 0.5705  3 Ag 2.80-2.96, 3 Cd 3.06-3.07
Cd2 0.3610 0.4295 0.8485  3 Ag 2.80-2.96, 3 Cd 3.06-3.07
Ag2 0.7412 0.7588 0.7588  7 Cd 2.80-2.96
Cd3 0.3610 0.8485 0.4295  3 Ag 2.80-2.96, 3 Cd 3.06-3.07
Pr1 0.0000 0.0000 0.0000  4 Ag 3.27, 8 Cd 3.54
Cd4 0.0000 0.5000 0.5000  2 Ag 2.86, 8 Cd 3.06
Cd5 0.6390 0.5705 0.1515  3 Ag 2.80-2.96, 3 Cd 3.06-3.07

***

No. 16
Material: ZrTaTiRe
Method: DFT, PBE
State: relaxed

* magnetization: 0.13 μB/atom
* calculated formation energy: -0.13 eV/atom
* E: -10.318 eV/atom
* SG: F-43m

Cell lengths 4.6409, 4.6409, 4.6409 Å; angles 60.00, 60.00, 60.00 degrees
Closest atoms and distances in Å follow each position.
Atoms (fractional coordinates):
Re1 0.7500 0.7500 0.7500  4 Zr 2.84, 4 Ta 2.84
Ti1 0.2500 0.2500 0.2500  4 Zr 2.84, 4 Ta 2.84
Ta1 0.0000 0.0000 0.0000  4 Ti 2.84, 4 Re 2.84
Zr1 0.5000 0.5000 0.5000  4 Re 2.84, 4 Ti 2.84

***

No. 17
Material: BaAgPb3
Method: DFT, PBE
State: relaxed

* magnetization: 0.00 μB/atom
* calculated formation energy: -0.04 eV/atom
* E: -3.218 eV/atom
* SG: Pm-3m

Cell lengths 5.6457, 5.6457, 5.6457 Å; angles 90.00, 90.00, 90.00 degrees
Closest atoms and distances in Å follow each position.
Atoms (fractional coordinates):
Ag1 0.0000 0.0000 0.0000  6 Pb 2.82
Ba1 0.5000 0.5000 0.5000  12 Pb 3.99
Pb1 0.0000 0.0000 0.5000  2 Ag 2.82
Pb2 0.0000 0.5000 0.0000  2 Ag 2.82
Pb3 0.5000 0.0000 0.0000  2 Ag 2.82

***

No. 18
Material: Pr2CuSn4Rh3
Method: DFT, PBE
State: relaxed

* magnetization: 0.00 μB/atom
* calculated formation energy: -0.63 eV/atom
* E: -5.806 eV/atom
* SG: P-4m2

Cell lengths 4.6001, 4.6001, 10.4297 Å; angles 90.00, 90.00, 90.00 degrees
Closest atoms and distances in Å follow each position.
Atoms (fractional coordinates):
Sn1 0.0000 0.5000 0.3756  3 Rh 2.58-2.64, 2 Cu 2.64
Cu1 0.5000 0.5000 0.5000  4 Sn 2.64
Pr1 0.0000 0.5000 0.7450  6 Rh 3.44-3.51, 2 Cu 3.44, 8 Sn 3.49-3.52
Sn2 0.0000 0.0000 0.0000  4 Rh 2.66
Pr2 0.5000 0.0000 0.2550  2 Cu 3.44, 6 Rh 3.44-3.51, 8 Sn 3.49-3.52
Sn3 0.5000 0.5000 0.0000  4 Rh 2.66
Rh1 0.5000 0.0000 0.8718  5 Sn 2.58-2.66
Sn4 0.5000 0.0000 0.6244  3 Rh 2.58-2.64, 2 Cu 2.64
Rh2 0.0000 0.5000 0.1282  5 Sn 2.58-2.66
Rh3 0.0000 0.0000 0.5000  4 Sn 2.64

***

No. 19
Material: Nd4Ru
Method: DFT, PBE
State: relaxed

* magnetization: 0.00 μB/atom
* calculated formation energy: -0.07 eV/atom
* E: -5.744 eV/atom
* offset from the most stable computed form: 0.000 eV per atom
* SG: Fdd2

Cell lengths 7.5741, 7.5741, 7.7663 Å; angles 104.33, 104.33, 119.50 degrees
Closest atoms and distances in Å follow each position.
Atoms (fractional coordinates):
Nd1 0.7689 0.0252 0.8396  2 Ru 2.80-2.81
Nd2 0.1793 0.9356 0.6604  2 Ru 2.80-2.81
Nd3 0.6921 0.4292 0.1608  1 Ru 2.75
Nd4 0.2752 0.5189 0.3396  2 Ru 2.80-2.81
Ru1 0.4871 0.9871 0.5000  6 Nd 2.75-2.81
Nd5 0.7813 0.0183 0.3392  1 Ru 2.75
Nd6 0.6792 0.4421 0.6608  1 Ru 2.75
Ru2 0.2371 0.2371 0.0000  6 Nd 2.75-2.81
Nd7 0.1856 0.9293 0.1604  2 Ru 2.80-2.81
Nd8 0.2683 0.5313 0.8392  1 Ru 2.75

***

No. 20
Material: Pm4Au
Method: DFT, PBE
State: relaxed

* magnetization: 0.00 μB/atom
* calculated formation energy: -0.23 eV/atom
* E: -4.685 eV/atom
* offset from the most stable computed form: 0.000 eV per atom
* SG: Fdd2

Cell lengths 7.1286, 7.1286, 8.0842 Å; angles 101.21, 101.21, 124.00 degrees
Closest atoms and distances in Å follow each position.
Atoms (fractional coordinates):
Pm1 0.3472 0.5013 0.3865  2 Au 3.04-3.15, 2 Pm 3.34-3.35
Au1 0.5474 0.0474 0.5000  8 Pm 3.04-3.25
Pm2 0.6603 0.5144 0.7820  2 Au 3.20-3.25, 3 Pm 3.34-3.48
Pm3 0.1282 0.4824 0.7180  2 Au 3.20-3.25, 3 Pm 3.34-3.48
Au2 0.2974 0.2974 0.0000  8 Pm 3.04-3.25
Pm4 0.7324 0.8782 0.2180  2 Au 3.20-3.25, 3 Pm 3.34-3.48
Pm5 0.1148 0.9607 0.6135  2 Au 3.04-3.15, 2 Pm 3.34-3.35
Pm6 0.2107 0.8648 0.1135  2 Au 3.04-3.15, 2 Pm 3.34-3.35
Pm7 0.7644 0.4103 0.2820  2 Au 3.20-3.25, 3 Pm 3.34-3.48
Pm8 0.7513 0.0972 0.8865  2 Au 3.04-3.15, 2 Pm 3.34-3.35